Entry 1:
The following is a PBE-GGA calculation of crystalline TlCoReW at its relaxed geometry, from the Open Quantum Materials Database.

CIF file:
```
data_TlCoReW
_cell_length_a 6.3416
_cell_length_b 6.3416
_cell_length_c 6.3416
_cell_angle_alpha 90.00
_cell_angle_beta 90.00
_cell_angle_gamma 90.00
_space_group_name_H-M_alt 'F -4 3 m'
_space_group_IT_number 216
_space_group_name_Hall 'F -4 2 3'
loop_
_atom_site_label
_atom_site_fract_x
_atom_site_fract_y
_atom_site_fract_z
Tl1 0.0000 0.0000 0.0000
Co1 0.2500 0.2500 0.2500
Re1 0.2500 0.2500 0.7500
W1 0.0000 0.0000 0.5000
```


Entry 2:
The following is a PBE-GGA calculation of crystalline YTlCoRe at its relaxed geometry, from the Open Quantum Materials Database.

CIF file:
```
data_YTlCoRe
_cell_length_a 6.6611
_cell_length_b 6.6611
_cell_length_c 6.6611
_cell_angle_alpha 90.00
_cell_angle_beta 90.00
_cell_angle_gamma 90.00
_space_group_name_H-M_alt 'F -4 3 m'
_space_group_IT_number 216
_space_group_name_Hall 'F -4 2 3'
loop_
_atom_site_label
_atom_site_fract_x
_atom_site_fract_y
_atom_site_fract_z
Y1 0.0000 0.0000 0.0000
Tl1 0.0000 0.0000 0.5000
Co1 0.2500 0.2500 0.7500
Re1 0.2500 0.2500 0.2500
```


Entry 3:
The following is a PBE-GGA calculation of crystalline YTlCoRe at its relaxed geometry, from the Open Quantum Materials Database.

CIF file:
```
data_YTlCoRe
_cell_length_a 6.7429
_cell_length_b 6.7429
_cell_length_c 6.7429
_cell_angle_alpha 90.00
_cell_angle_beta 90.00
_cell_angle_gamma 90.00
_space_group_name_H-M_alt 'F -4 3 m'
_space_group_IT_number 216
_space_group_name_Hall 'F -4 2 3'
loop_
_atom_site_label
_atom_site_fract_x
_atom_site_fract_y
_atom_site_fract_z
Y1 0.0000 0.0000 0.0000
Tl1 0.2500 0.2500 0.2500
Co1 0.0000 0.0000 0.5000
Re1 0.2500 0.2500 0.7500
```


Entry 4:
The following is a PBE-GGA calculation of crystalline ZrTlCoRe at its relaxed geometry, from the Open Quantum Materials Database.

CIF file:
```
data_ZrTlCoRe
_cell_length_a 6.5164
_cell_length_b 6.5164
_cell_length_c 6.5164
_cell_angle_alpha 90.00
_cell_angle_beta 90.00
_cell_angle_gamma 90.00
_space_group_name_H-M_alt 'F -4 3 m'
_space_group_IT_number 216
_space_group_name_Hall 'F -4 2 3'
loop_
_atom_site_label
_atom_site_fract_x
_atom_site_fract_y
_atom_site_fract_z
Zr1 0.0000 0.0000 0.0000
Tl1 0.0000 0.0000 0.5000
Co1 0.2500 0.2500 0.7500
Re1 0.2500 0.2500 0.2500
```


Number 1: size of the total moment 4.395 μB/cell, distance to the lowest polymorph of the same formula 0.00 eV/f.u.. Number 2: size of the total moment 7.563 μB/cell, distance to the lowest polymorph of the same formula 0.00 eV/f.u.. Number 3: size of the total moment 14.384 μB/cell, distance to the lowest polymorph of the same formula 0.10 eV/f.u.. Number 4: size of the total moment 3.170 μB/cell, distance to the lowest polymorph of the same formula 0.00 eV/f.u..